Density functional theory data (PBE) for a relaxed structure of DyErMgSn.

Summary:
ΔH_f (0 K)	-0.3828	eV/atom
density	7.57	Mg/m³
raw total energy	-16.3	eV/f.u.

Unit cell a=5.2735 b=5.2735 c=5.2735 alpha=60.00 beta=60.00 gamma=60.00
Last column: nearest neighbours and their distance in Å.
Positions (direct):
Dy1 0.7500 0.7500 0.7500  4 Sn 3.23, 4 Mg 3.23
Er1 0.2500 0.2500 0.2500  4 Sn 3.23, 4 Mg 3.23
Mg1 0.5000 0.5000 0.5000  4 Er 3.23, 4 Dy 3.23
Sn1 0.0000 0.0000 0.0000  4 Dy 3.23, 4 Er 3.23